Here is a crystal of ReRh3 relaxed with PBEsol from Alexandria. Energies are from SCAN.

Cell: 3.801 3.801 4.642 Å, 114.17 114.17 90.00°
Positions (direct):
Rh  0.750  0.250  0.500
Re  0.500  0.500  0.000
Rh  0.250  0.750  0.500
Rh  0.000  0.000  0.000

Output
Distance to the lowest polymorph of the same formula = 0.23 eV/f.u.
Spin magnetization = 0.0 μB/f.u.
DFT formation energy = -0.047 eV per atom
N(E_F) = 4.659 states/eV/f.u.
Space-group type = No. 139

=====

Here is a crystal of Re3Rh5 relaxed with PBEsol from Alexandria. Energies are from SCAN.

Cell: 4.306 4.684 5.463 Å, 90.27 90.00 90.00°
Positions (direct):
Rh  0.500  0.207  0.316
Re  0.500  0.704  0.560
Rh  0.000  0.545  0.310
Rh  0.000  0.038  0.562
Re  0.000  0.048  0.064
Rh  0.500  0.707  0.064
Re  0.500  0.202  0.812
Rh  0.000  0.549  0.813

Output
Distance to the lowest polymorph of the same formula = 0.05 eV/f.u.
Spin magnetization = 0.0 μB/f.u.
DFT formation energy = -0.157 eV per atom
N(E_F) = 5.835 states/eV/f.u.
Space-group type = No. 6

=====

Here is a crystal of ReRh2 relaxed with PBEsol from Alexandria. Energies are from SCAN.

Cell: 2.700 2.700 6.019 Å, 102.96 102.96 90.00°
Positions (direct):
Re  0.000  0.000  0.000
Rh  0.662  0.662  0.324
Rh  0.338  0.338  0.676

Output
Distance to the lowest polymorph of the same formula = 0.17 eV/f.u.
Spin magnetization = 0.0 μB/f.u.
DFT formation energy = -0.137 eV per atom
N(E_F) = 1.901 states/eV/f.u.
Space-group type = No. 139

=====

Here is a crystal of ReRh3 relaxed with PBEsol from Alexandria. Energies are from SCAN.

Cell: 2.676 4.654 4.658 Å, 99.46 106.70 90.00°
Positions (direct):
Rh  0.748  0.247  0.496
Rh  0.500  0.500  0.000
Rh  0.252  0.753  0.504
Re  0.000  0.000  0.000

Output
Distance to the lowest polymorph of the same formula = 0.20 eV/f.u.
Spin magnetization = 0.0 μB/f.u.
DFT formation energy = -0.054 eV per atom
N(E_F) = 4.571 states/eV/f.u.
Space-group type = No. 12

=====

Here is a crystal of ReRh5 relaxed with PBEsol from Alexandria. Energies are from SCAN.

Cell: 2.701 5.112 6.341 Å, 103.78 90.00 105.32°
Positions (direct):
Re  0.000  0.999  0.999
Rh  0.337  0.674  0.673
Rh  0.054  0.109  0.612
Rh  0.391  0.783  0.275
Rh  0.720  0.440  0.945
Rh  0.664  0.328  0.329

Output
Distance to the lowest polymorph of the same formula = 0.11 eV/f.u.
Spin magnetization = 0.0 μB/f.u.
DFT formation energy = -0.065 eV per atom
N(E_F) = 6.277 states/eV/f.u.
Space-group type = No. 8

=====

Here is a crystal of ReRh3 relaxed with PBEsol from Alexandria. Energies are from SCAN.

Cell: 2.700 4.304 4.699 Å, 90.00 90.00 90.00°
Positions (direct):
Rh  0.500  0.500  0.831
Rh  0.000  0.500  0.330
Rh  0.500  0.000  0.501
Re  0.000  0.000  0.004

Output
Distance to the lowest polymorph of the same formula = 0.05 eV/f.u.
Spin magnetization = 0.0 μB/f.u.
DFT formation energy = -0.091 eV per atom
N(E_F) = 3.697 states/eV/f.u.
Space-group type = No. 25

=====

- Which formula does entry 2 have?
  Re3Rh5

=====

- What is the formula in the first record?
  ReRh3

=====

- What is the formula in the sixth record?
  ReRh3